i) HfZnPb3 (PBE, relaxed); volume = 29.5 Å³/atom; magnetic moment = 0.000 μB/cell
1.0
-2.1318 -4.8365 0.0552
1.3879 -0.5539 5.0702
-4.6334 2.0593 1.4933
Zn Pb Hf
1 3 1
direct
0.0000 0.0000 0.0000
0.5000 0.0000 0.0000
0.0000 0.5000 0.0000
0.0000 0.0000 0.5000
0.5000 0.5000 0.5000


ii) HfZnPb3 (PBE, relaxed); volume = 36.2 Å³/atom; magnetic moment = 0.000 μB/cell
1.0
5.6558 0.0000 0.0000
0.0000 5.6558 0.0000
0.0000 0.0000 5.6558
Pb Zn Hf
3 1 1
direct
0.0000 0.0000 0.5000
0.0000 0.5000 0.0000
0.5000 0.0000 0.0000
0.5000 0.5000 0.5000
0.0000 0.0000 0.0000


ii) (257 meV per atom below the next structure)


i) Hf2ZnPb (PBE, relaxed); volume = 20.7 Å³/atom; magnetic moment = 0.000 μB/cell
1.0
4.3692 0.0000 0.0000
0.0000 4.3505 0.0000
0.0000 0.0000 4.3505
Hf Pb Zn
2 1 1
direct
0.0000 0.5000 0.0000
0.0000 0.0000 0.5000
0.5000 0.5000 0.5000
0.5000 0.0000 0.0000


ii) Hf2ZnPb (PBE, relaxed); volume = 22.3 Å³/atom; magnetic moment = 0.000 μB/cell
1.0
-2.5384 -6.5804 3.1200
-1.8728 -2.6031 -7.0139
0.5306 -5.7838 -2.2351
Hf Zn Pb
4 2 2
direct
0.8750 0.8558 0.7500
0.3750 0.3942 0.7500
0.6058 0.1250 0.2500
0.1442 0.6250 0.2500
0.5000 0.5000 0.0000
0.2500 0.7500 0.5000
0.0000 0.0000 0.0000
0.7500 0.2500 0.5000


i) (268 meV per atom below the next structure)